[1]
An optimized crystal structure of SmAlCu3, computed with PBE.

a = 6.446 Å, b = 6.472 Å, c = 4.552 Å
α = 90.00°, β = 90.00°, γ = 90.00°
Space group Cmmm (No. 65)
Symmetry-distinct sites (fractional):
Sm 0.000 0.000 0.000 (multiplicity 2)
Al 0.000 0.500 0.500 (multiplicity 2)
Cu 0.000 0.500 0.000 (multiplicity 2)
Cu 0.250 0.250 0.500 (multiplicity 4)

Results
- E_form: 0.07 eV/atom
- Excess energy over the best structure of this formula in the dataset: 270.1 meV/atom
- Final energy: -40.79 eV for the cell shown
- M_tot: 0.0 μB/f.u.

[2]
An optimized crystal structure of VCu5Pt8, computed with PBE.

a = 7.425 Å, b = 7.425 Å, c = 7.656 Å
α = 90.00°, β = 90.00°, γ = 90.00°
Space group I-4 (No. 82)
Symmetry-distinct sites (fractional):
V 0.000 0.000 0.000 (multiplicity 2)
Cu 0.000 0.500 0.250 (multiplicity 2)
Cu 0.113 0.199 0.582 (multiplicity 8)
Pt 0.067 0.330 0.910 (multiplicity 8)
Pt 0.100 0.182 0.247 (multiplicity 8)

Results
- E_form: -0.04 eV/atom
- Final energy: -156.92 eV for the cell shown
- M_tot: 0.0 μB/f.u.

[3]
An optimized crystal structure of ScRuSe3, computed with PBE.

a = 5.088 Å, b = 5.088 Å, c = 5.088 Å
α = 90.00°, β = 90.00°, γ = 90.00°
Space group Pm-3m (No. 221)
Symmetry-distinct sites (fractional):
Sc 0.000 0.000 0.000 (multiplicity 1)
Ru 0.500 0.500 0.500 (multiplicity 1)
Se 0.000 0.000 0.500 (multiplicity 3)

Results
- Excess energy over the best structure of this formula in the dataset: 363.2 meV/atom
- Final energy: -24.43 eV for the cell shown
- M_tot: 3.1 μB/f.u.

[4]
An optimized crystal structure of Ca4Hg, computed with PBE.

a = 7.348 Å, b = 7.348 Å, c = 7.348 Å
α = 90.00°, β = 90.00°, γ = 90.00°
Space group Im-3m (No. 229)
Symmetry-distinct sites (fractional):
Ca 0.250 0.250 0.250 (multiplicity 8)
Hg 0.000 0.000 0.000 (multiplicity 2)

Results
- E_form: -0.04 eV/atom
- Excess energy over the best structure of this formula in the dataset: 138.9 meV/atom
- Final energy: -17.02 eV for the cell shown
- M_tot: 0.0 μB/f.u.

[5]
An optimized crystal structure of Zn2FeOs, computed with PBE.

a = 4.636 Å, b = 2.676 Å, c = 4.638 Å
α = 90.00°, β = 109.78°, γ = 90.00°
Space group P2/m (No. 10)
Symmetry-distinct sites (fractional):
Zn 0.000 0.000 0.000 (multiplicity 1)
Zn 0.500 0.500 0.000 (multiplicity 1)
Fe 0.000 0.500 0.500 (multiplicity 1)
Os 0.500 0.000 0.500 (multiplicity 1)

Results
- E_form: 0.14 eV/atom
- Excess energy over the best structure of this formula in the dataset: 81.1 meV/atom
- Final energy: -21.67 eV for the cell shown
- M_tot: 2.3 μB/f.u.

[6]
An optimized crystal structure of YB3Pb, computed with PBE.

a = 4.752 Å, b = 4.752 Å, c = 4.752 Å
α = 90.00°, β = 90.00°, γ = 90.00°
Space group Pm-3m (No. 221)
Symmetry-distinct sites (fractional):
Y 0.000 0.000 0.000 (multiplicity 1)
B 0.000 0.000 0.500 (multiplicity 3)
Pb 0.500 0.500 0.500 (multiplicity 1)

Results
- E_form: 1.89 eV/atom
- Excess energy over the best structure of this formula in the dataset: 62.8 meV/atom
- Final energy: -20.75 eV for the cell shown
- M_tot: 0.0 μB/f.u.

[7]
An optimized crystal structure of Sm2ScPa2Ru5, computed with PBE.

a = 11.007 Å, b = 11.007 Å, c = 3.363 Å
α = 90.00°, β = 90.00°, γ = 90.00°
Space group P4/mbm (No. 127)
Symmetry-distinct sites (fractional):
Sm 0.163 0.337 0.000 (multiplicity 4)
Sc 0.000 0.000 0.000 (multiplicity 2)
Pa 0.150 0.650 0.000 (multiplicity 4)
Ru 0.000 0.500 0.500 (multiplicity 2)
Ru 0.050 0.797 0.500 (multiplicity 8)

Results
- E_form: -0.29 eV/atom
- Final energy: -168.06 eV for the cell shown
- M_tot: 0.0 μB/f.u.

[8]
An optimized crystal structure of CaThIrAu, computed with PBE.

a = 7.174 Å, b = 7.174 Å, c = 7.174 Å
α = 90.00°, β = 90.00°, γ = 90.00°
Space group F-43m (No. 216)
Symmetry-distinct sites (fractional):
Ca 0.000 0.000 0.000 (multiplicity 4)
Th 0.000 0.000 0.500 (multiplicity 4)
Ir 0.250 0.250 0.250 (multiplicity 4)
Au 0.250 0.250 0.750 (multiplicity 4)

Results
- E_form: -0.63 eV/atom
- Excess energy over the best structure of this formula in the dataset: 162.2 meV/atom
- Final energy: -96.29 eV for the cell shown
- M_tot: 0.0 μB/f.u.